Entry from the Alexandria database: K5Al3 after structural relaxation (PBE-GGA).

Results
Its space-group type is No. 1. The calculation puts the offset from the most stable computed form at 0.000 kcal/mol of atoms.

Unit cell a=10.506 b=9.513 c=12.683 alpha=87.91 beta=114.91 gamma=138.00
Positions (direct):
K1 0.179 0.716 0.432
K2 0.821 0.285 0.567
K3 0.860 0.037 0.854
K4 0.139 0.964 0.146
K5 0.739 0.654 0.331
K6 0.260 0.346 0.669
K7 0.662 0.293 0.825
K8 0.337 0.706 0.175
K9 0.959 0.178 0.250
K10 0.040 0.822 0.751
Al1 0.488 0.622 0.999
Al2 0.512 0.378 0.001
Al3 0.443 0.325 0.492
Al4 0.556 0.675 0.508
Al5 0.412 0.821 0.915
Al6 0.587 0.179 0.085

Entry from the Alexandria database: Rb3FeGe after structural relaxation (PBE-GGA).

Results
Its space-group type is No. 221. The calculation puts the offset from the most stable computed form at 0.000 kcal/mol of atoms.

Unit cell a=6.735 b=6.735 c=6.735 alpha=90.00 beta=90.00 gamma=90.00
Site moments in Bohr magnetons follow the coordinates.
Positions (direct):
Ge1 0.000 0.000 0.000  0.57
Fe1 0.500 0.500 0.500  3.18
Rb1 0.000 0.500 0.000  0.03
Rb2 0.000 0.000 0.500  0.04
Rb3 0.500 0.000 0.000  0.02

Entry from the Alexandria database: SrCoSb2 after structural relaxation (PBE-GGA).

Results
Its space-group type is No. 99. The value obtained for the raw formation energy is -88.6 kJ/mol of formula units.

Unit cell a=4.577 b=5.367 c=4.578 alpha=90.00 beta=90.00 gamma=90.00
Positions (direct):
Co1 0.500 0.148 0.875
Sb1 0.000 0.950 0.875
Sb2 0.500 0.950 0.375
Sr1 0.000 0.452 0.375

> What is the formula in the third record?

SrCoSb2